No. 1
DFT (PBE-GGA) results for NbH2Pt after structural relaxation.

Lattice parameters (Å, degrees): 5.3856 5.3856 5.3856 133.09 133.09 68.51
Last column: nearest neighbours and their distance in Å.
Element x y z (fractional)
Nb 0.0000 0.0000 0.0000  4 H 1.92
Nb 0.7500 0.2500 0.5000  4 H 1.92
H 0.1421 0.6250 0.0171  2 Pt 1.84, 2 Nb 1.92
H 0.3750 0.3921 0.5171  2 Pt 1.84, 2 Nb 1.92
H 0.6079 0.1250 0.9829  2 Pt 1.84, 2 Nb 1.92
H 0.8750 0.8579 0.4829  2 Pt 1.84, 2 Nb 1.92
Pt 0.2500 0.7500 0.5000  4 H 1.84
Pt 0.5000 0.5000 0.0000  4 H 1.84

Computed properties:
space-group type: I-42d, No. 122
ΔE to the lowest computed polymorph: 0.000 eV per formula unit
total magnetic moment: 0.00 μB per cell
crystal system: tetragonal



No. 2
DFT (PBE-GGA) results for Zr4BeAu after structural relaxation.

Lattice parameters (Å, degrees): 5.6308 5.6308 5.6308 60.00 60.00 60.00
Last column: nearest neighbours and their distance in Å.
Element x y z (fractional)
Zr 0.1253 0.1253 0.1253  6 Zr 2.81-2.82
Zr 0.1253 0.1253 0.6240  6 Zr 2.81-2.82
Zr 0.1253 0.6240 0.1253  6 Zr 2.81-2.82
Zr 0.6240 0.1253 0.1253  6 Zr 2.81-2.82
Be 0.5000 0.5000 0.5000  12 Zr 3.30, 4 Au 3.45
Au 0.7500 0.7500 0.7500  12 Zr 3.30, 4 Be 3.45

Computed properties:
space-group type: F-43m, No. 216
ΔH_f (0 K): 0.473 eV/atom
ΔE to the lowest computed polymorph: 3.914 eV per formula unit
total magnetic moment: 0.00 μB per cell
crystal system: cubic



No. 3
DFT (PBE-GGA) results for Tl12Hg6Sb after structural relaxation.

Lattice parameters (Å, degrees): 8.8046 8.8046 8.8046 105.23 105.23 105.23
Last column: nearest neighbours and their distance in Å.
Element x y z (fractional)
Tl 0.0010 0.6711 0.1494  2 Hg 3.17-3.27, 4 Tl 3.39-3.48, 1 Sb 3.48
Tl 0.0731 0.3706 0.3016  3 Hg 3.22-3.44, 3 Tl 3.39-3.48, 1 Sb 3.40
Tl 0.1494 0.0010 0.6711  2 Hg 3.17-3.27, 4 Tl 3.39-3.48, 1 Sb 3.48
Tl 0.3016 0.0731 0.3706  3 Hg 3.22-3.44, 3 Tl 3.39-3.48, 1 Sb 3.40
Tl 0.3289 0.8506 0.9990  2 Hg 3.17-3.27, 4 Tl 3.39-3.48, 1 Sb 3.48
Tl 0.3706 0.3016 0.0731  3 Hg 3.22-3.44, 3 Tl 3.39-3.48, 1 Sb 3.40
Tl 0.6294 0.6984 0.9269  3 Hg 3.22-3.44, 3 Tl 3.39-3.48, 1 Sb 3.40
Tl 0.6711 0.1494 0.0010  2 Hg 3.17-3.27, 4 Tl 3.39-3.48, 1 Sb 3.48
Tl 0.6984 0.9269 0.6294  3 Hg 3.22-3.44, 3 Tl 3.39-3.48, 1 Sb 3.40
Tl 0.8506 0.9990 0.3289  2 Hg 3.17-3.27, 4 Tl 3.39-3.48, 1 Sb 3.48
Tl 0.9269 0.6294 0.6984  3 Hg 3.22-3.44, 3 Tl 3.39-3.48, 1 Sb 3.40
Tl 0.9990 0.3289 0.8506  2 Hg 3.17-3.27, 4 Tl 3.39-3.48, 1 Sb 3.48
Hg 0.2685 0.3870 0.6741  2 Hg 3.15, 5 Tl 3.17-3.44
Hg 0.3259 0.7315 0.6130  2 Hg 3.15, 5 Tl 3.17-3.44
Hg 0.3870 0.6741 0.2685  2 Hg 3.15, 5 Tl 3.17-3.44
Hg 0.6130 0.3259 0.7315  2 Hg 3.15, 5 Tl 3.17-3.44
Hg 0.6741 0.2685 0.3870  2 Hg 3.15, 5 Tl 3.17-3.44
Hg 0.7315 0.6130 0.3259  2 Hg 3.15, 5 Tl 3.17-3.44
Sb 0.0000 0.0000 0.0000  12 Tl 3.40-3.48

Computed properties:
space-group type: R-3, No. 148
formation energy (no corrections): 0.4 kcal/mol of atoms
ΔE to the lowest computed polymorph: 0.000 eV per formula unit
total magnetic moment: 0.00 μB per cell
crystal system: trigonal



No. 4
DFT (PBE-GGA) results for BiRu3W after structural relaxation.

Lattice parameters (Å, degrees): 4.7335 4.7335 4.7335 90.00 90.00 90.00
Last column: nearest neighbours and their distance in Å.
Element x y z (fractional)
Bi 0.0000 0.0000 0.0000  12 Ru 3.35
Ru 0.0000 0.5000 0.5000  2 W 2.37
Ru 0.5000 0.0000 0.5000  2 W 2.37
Ru 0.5000 0.5000 0.0000  2 W 2.37
W 0.5000 0.5000 0.5000  6 Ru 2.37

Computed properties:
space-group type: Pm-3m, No. 221
ΔH_f (0 K): 1.322 eV/atom
ΔE to the lowest computed polymorph: 0.000 eV per formula unit
total magnetic moment: 0.00 μB per cell
crystal system: cubic



No. 5
DFT (PBE-GGA) results for NaCoHg3 after structural relaxation.

Lattice parameters (Å, degrees): 5.0537 5.0537 5.0537 90.00 90.00 90.00
Last column: nearest neighbours and their distance in Å.
Element x y z (fractional)
Na 0.0000 0.0000 0.0000  12 Hg 3.57
Co 0.5000 0.5000 0.5000  6 Hg 2.53
Hg 0.0000 0.5000 0.5000  2 Co 2.53
Hg 0.5000 0.0000 0.5000  2 Co 2.53
Hg 0.5000 0.5000 0.0000  2 Co 2.53

Computed properties:
space-group type: Pm-3m, No. 221
ΔH_f (0 K): 0.109 eV/atom
ΔE to the lowest computed polymorph: 0.000 eV per formula unit
total magnetic moment: 0.00 μB per cell
crystal system: cubic



No. 6
DFT (PBE-GGA) results for ScMoSe after structural relaxation.

Lattice parameters (Å, degrees): 12.1304 3.2826 3.2826 58.18 90.00 90.00
Last column: nearest neighbours and their distance in Å.
Element x y z (fractional)
Sc 0.1764 0.0000 0.0000  3 Mo 2.69-2.94, 3 Se 2.83-2.87
Sc 0.8236 0.0000 0.0000  3 Mo 2.69-2.94, 3 Se 2.83-2.87
Mo 0.0000 0.2841 0.2841  6 Sc 2.69-2.94
Mo 0.5000 0.0023 0.0023  6 Se 2.59-2.61
Se 0.3526 0.3329 0.3329  3 Mo 2.59-2.61, 3 Sc 2.83-2.87
Se 0.6474 0.3329 0.3329  3 Mo 2.59-2.61, 3 Sc 2.83-2.87

Computed properties:
space-group type: Amm2, No. 38
formation energy (no corrections): -6.2 kcal/mol of atoms
ΔE to the lowest computed polymorph: 0.146 eV per formula unit
total magnetic moment: 0.00 μB per cell
crystal system: orthorhombic



No. 7
DFT (PBE-GGA) results for CuSe2Cl after structural relaxation.

Lattice parameters (Å, degrees): 4.6802 4.6802 4.6802 109.25 109.25 109.92
Last column: nearest neighbours and their distance in Å.
Element x y z (fractional)
Cu 0.0000 0.0000 0.0000  2 Cl 2.69, 4 Se 2.71
Se 0.0000 0.5000 0.5000  2 Se 2.69, 2 Cl 2.71, 2 Cu 2.71
Se 0.5000 0.0000 0.5000  2 Se 2.69, 2 Cl 2.71, 2 Cu 2.71
Cl 0.5000 0.5000 0.0000  2 Cu 2.69, 4 Se 2.71

Computed properties:
space-group type: I4/mmm, No. 139
formation energy (no corrections): 3.7 kcal/mol of atoms
ΔE to the lowest computed polymorph: 1.805 eV per formula unit
total magnetic moment: 0.00 μB per cell
crystal system: tetragonal



No. 8
DFT (PBE-GGA) results for SrCa2Sn2 after structural relaxation.

Lattice parameters (Å, degrees): 9.4630 9.4630 3.6551 90.00 90.00 90.00
Last column: nearest neighbours and their distance in Å.
Element x y z (fractional)
Sr 0.0000 0.0000 0.0000  4 Sn 3.51, 2 Sr 3.66
Sr 0.5000 0.5000 0.0000  4 Sn 3.51, 2 Sr 3.66
Ca 0.1298 0.3702 0.5000  6 Sn 3.25-3.39, 1 Ca 3.47
Ca 0.3702 0.8702 0.5000  6 Sn 3.25-3.39, 1 Ca 3.47
Ca 0.6298 0.1298 0.5000  6 Sn 3.25-3.39, 1 Ca 3.47
Ca 0.8702 0.6298 0.5000  6 Sn 3.25-3.39, 1 Ca 3.47
Sn 0.1695 0.6695 0.0000  6 Ca 3.25-3.39, 2 Sr 3.51
Sn 0.3305 0.1695 0.0000  6 Ca 3.25-3.39, 2 Sr 3.51
Sn 0.6695 0.8305 0.0000  6 Ca 3.25-3.39, 2 Sr 3.51
Sn 0.8305 0.3305 0.0000  6 Ca 3.25-3.39, 2 Sr 3.51

Computed properties:
space-group type: P4/mbm, No. 127
ΔH_f (0 K): -0.558 eV/atom
ΔE to the lowest computed polymorph: 0.000 eV per formula unit
total magnetic moment: 0.00 μB per cell
crystal system: tetragonal



No. 9
DFT (PBE-GGA) results for K2MoBr5Cl after structural relaxation.

Lattice parameters (Å, degrees): 7.3961 7.3961 7.3961 118.84 118.84 92.03
Last column: nearest neighbours and their distance in Å.
Element x y z (fractional)
K 0.0000 0.5000 0.5000  10 Br 3.70-3.76, 2 Cl 3.77
K 0.5000 0.0000 0.5000  10 Br 3.70-3.76, 2 Cl 3.77
Mo 0.2487 0.2487 0.0000  1 Cl 2.38, 5 Br 2.54-2.56
Br 0.0090 0.0090 0.5180  1 Mo 2.56
Br 0.0090 0.4910 0.0000  1 Mo 2.56
Br 0.4910 0.0090 0.0000  1 Mo 2.56
Br 0.4910 0.4910 0.4820  1 Mo 2.56
Br 0.4964 0.4964 0.0000  1 Mo 2.54
Cl 0.0166 0.0166 0.0000  1 Mo 2.38

Computed properties:
space-group type: I4mm, No. 107
formation energy (no corrections): -26.0 kcal/mol of atoms
total magnetic moment: 2.00 μB per cell
crystal system: tetragonal



No. 10
DFT (PBE-GGA) results for HfBAu after structural relaxation.

Lattice parameters (Å, degrees): 3.1285 3.5771 9.7342 86.85 80.89 64.49
Last column: nearest neighbours and their distance in Å.
Element x y z (fractional)
Hf 0.0000 0.0000 0.0000  4 B 2.27-2.50
Hf 0.2738 0.1194 0.3410  4 B 2.30-2.39
B 0.0313 0.7223 0.2158  2 B 1.70
B 0.6110 0.6198 0.1556  2 B 1.70
Au 0.4184 0.3764 0.7865  3 Hf 2.85-2.87, 5 Au 2.93-3.13
Au 0.8459 0.7440 0.5623  3 Hf 2.91-2.92, 5 Au 2.93-3.13

Computed properties:
space-group type: P1, No. 1
ΔH_f (0 K): -0.341 eV/atom
total magnetic moment: 0.00 μB per cell
crystal system: triclinic



No. 11
DFT (PBE-GGA) results for Pr3Dy2Y5 after structural relaxation.

Lattice parameters (Å, degrees): 9.8053 9.8053 9.3711 108.58 108.58 112.97
Last column: nearest neighbours and their distance in Å.
Element x y z (fractional)
Pr 0.0213 0.2713 0.0468  1 Dy 3.13, 4 Y 3.33-3.50
Pr 0.2308 0.7692 0.7500  4 Dy 3.32-3.61, 3 Y 3.35-3.68, 2 Pr 3.55
Pr 0.2713 0.0213 0.5468  1 Dy 3.13, 4 Y 3.33-3.50
Pr 0.7287 0.9787 0.4532  1 Dy 3.13, 4 Y 3.33-3.50
Pr 0.7692 0.2308 0.2500  4 Dy 3.32-3.61, 3 Y 3.35-3.68, 2 Pr 3.55
Pr 0.9787 0.7287 0.9532  1 Dy 3.13, 4 Y 3.33-3.50
Dy 0.2314 0.4713 0.4556  2 Pr 3.13-3.32, 4 Y 3.31-3.48
Dy 0.4713 0.2314 0.9556  2 Pr 3.13-3.32, 4 Y 3.31-3.48
Dy 0.5287 0.7686 0.0444  2 Pr 3.13-3.32, 4 Y 3.31-3.48
Dy 0.7686 0.5287 0.5444  2 Pr 3.13-3.32, 4 Y 3.31-3.48
Y 0.0259 0.9741 0.7500  5 Pr 3.35-3.50, 2 Dy 3.48, 2 Y 3.58
Y 0.1399 0.3729 0.7620  2 Dy 3.47-3.56, 3 Pr 3.50-3.68, 3 Y 3.58-3.74
Y 0.2738 0.7262 0.2500  1 Y 3.24, 4 Pr 3.33-3.55, 2 Dy 3.59
Y 0.3729 0.1399 0.2620  2 Dy 3.47-3.56, 3 Pr 3.50-3.68, 3 Y 3.58-3.74
Y 0.4720 0.5280 0.2500  3 Y 3.24-3.59, 4 Dy 3.31-3.48, 2 Pr 3.52
Y 0.5280 0.4720 0.7500  3 Y 3.24-3.59, 4 Dy 3.31-3.48, 2 Pr 3.52
Y 0.6271 0.8601 0.7380  2 Dy 3.47-3.56, 3 Pr 3.50-3.68, 3 Y 3.58-3.74
Y 0.7262 0.2738 0.7500  1 Y 3.24, 4 Pr 3.33-3.55, 2 Dy 3.59
Y 0.8601 0.6271 0.2380  2 Dy 3.47-3.56, 3 Pr 3.50-3.68, 3 Y 3.58-3.74
Y 0.9741 0.0259 0.2500  5 Pr 3.35-3.50, 2 Dy 3.48, 2 Y 3.58

Computed properties:
space-group type: C2/c, No. 15
ΔH_f (0 K): 0.181 eV/atom
total magnetic moment: 0.00 μB per cell
crystal system: monoclinic



No. 12
DFT (PBE-GGA) results for LaNdI2N after structural relaxation.

Lattice parameters (Å, degrees): 4.3977 4.3977 15.8138 90.00 90.00 90.00
Last column: nearest neighbours and their distance in Å.
Element x y z (fractional)
La 0.2500 0.2500 0.0853  6 I 3.18-3.36
La 0.7500 0.7500 0.9147  6 I 3.18-3.36
Nd 0.2500 0.2500 0.5609  4 N 2.40
Nd 0.7500 0.7500 0.4391  4 N 2.40
I 0.2500 0.2500 0.2897  1 La 3.23
I 0.2500 0.2500 0.8726  5 La 3.18-3.36
I 0.7500 0.7500 0.1274  5 La 3.18-3.36
I 0.7500 0.7500 0.7103  1 La 3.23
N 0.2500 0.7500 0.5000  4 Nd 2.40
N 0.7500 0.2500 0.5000  4 Nd 2.40

Computed properties:
space-group type: P4/nmm, No. 129
formation energy (no corrections): -27.0 kcal/mol of atoms
total magnetic moment: 0.62 μB per cell
crystal system: tetragonal



Please write out number 6 again, unchanged.
DFT (PBE-GGA) results for ScMoSe after structural relaxation.

Lattice parameters (Å, degrees): 12.1304 3.2826 3.2826 58.18 90.00 90.00
Last column: nearest neighbours and their distance in Å.
Element x y z (fractional)
Sc 0.1764 0.0000 0.0000  3 Mo 2.69-2.94, 3 Se 2.83-2.87
Sc 0.8236 0.0000 0.0000  3 Mo 2.69-2.94, 3 Se 2.83-2.87
Mo 0.0000 0.2841 0.2841  6 Sc 2.69-2.94
Mo 0.5000 0.0023 0.0023  6 Se 2.59-2.61
Se 0.3526 0.3329 0.3329  3 Mo 2.59-2.61, 3 Sc 2.83-2.87
Se 0.6474 0.3329 0.3329  3 Mo 2.59-2.61, 3 Sc 2.83-2.87

Computed properties:
space-group type: Amm2, No. 38
formation energy (no corrections): -6.2 kcal/mol of atoms
ΔE to the lowest computed polymorph: 0.146 eV per formula unit
total magnetic moment: 0.00 μB per cell
crystal system: orthorhombic